Material: PmTeIO
Method: DFT, PBE
State: relaxed

Cell lengths 4.146, 4.146, 15.069 Å; angles 90.00, 90.00, 90.00 degrees
Space group P4/nmm (No. 129, origin choice 2)
One atom of each set of equivalent atoms:
Pm1 0.250 0.250 0.074 [2 per cell]
Te1 0.250 0.750 0.500 [2 per cell]
I1 0.250 0.250 0.800 [2 per cell]
O1 0.250 0.750 0.000 [2 per cell]

As for the spin magnetization: 0.000 μB per formula unit. For the total energy, the calculation gives -5.56 eV/atom. The raw formation energy comes out at -189 kJ per mole of atoms.